No. 1
Entry from Alexandria: an optimized crystal structure of HoTh7 (PBE).

Summary:
As for the total energy: -7.046 eV per atom. The total magnetic moment comes out at 0.00 μB/atom. Its volume is 31.931 Å³ per atom. As for the density: 11.63 Mg/m³.

Unit cell a=10.072 b=10.072 c=10.072 alpha=90.00 beta=90.00 gamma=90.00
Space group Fm-3m (No. 225)
One atom of each set of equivalent atoms:
Ho  0.000  0.000  0.000 (multiplicity 4)
Th  0.000  0.000  0.500 (multiplicity 4)
Th  0.000  0.250  0.250 (multiplicity 24)

No. 2
Entry from Alexandria: an optimized crystal structure of NdYTmZn (PBE).

Summary:
Its excess energy over the best structure of this formula in the dataset is 0.0 meV per atom. As for the total energy: -4.414 eV per atom. The total magnetic moment comes out at 0.00 μB/atom. Its volume is 27.902 Å³ per atom. As for the density: 6.96 Mg/m³.

Unit cell a=3.570 b=3.570 c=8.755 alpha=90.00 beta=90.00 gamma=90.00
Space group P4mm (No. 99)
One atom of each set of equivalent atoms:
Nd  0.000  0.000  0.000 (multiplicity 1)
Y  0.500  0.500  0.696 (multiplicity 1)
Tm  0.500  0.500  0.295 (multiplicity 1)
Zn  0.000  0.000  0.489 (multiplicity 1)

No. 3
Entry from Alexandria: an optimized crystal structure of NaAl4Pt (PBE).

Summary:
As for the total energy: -3.986 eV per atom. The total magnetic moment comes out at 0.00 μB/atom. Its volume is 19.695 Å³ per atom. As for the density: 4.58 Mg/m³.

Unit cell a=8.765 b=9.572 c=7.137 alpha=90.00 beta=127.87 gamma=90.00
Space group C2/m (No. 12)
One atom of each set of equivalent atoms:
Na  0.250  0.250  0.000 (multiplicity 4)
Al  0.032  0.000  0.720 (multiplicity 4)
Al  0.187  0.367  0.376 (multiplicity 8)
Al  0.187  0.500  0.720 (multiplicity 4)
Pt  0.000  0.249  0.500 (multiplicity 4)

No. 4
Entry from Alexandria: an optimized crystal structure of Li3Ga5Pt2 (PBE).

Summary:
As for the total energy: -3.645 eV per atom. The total magnetic moment comes out at 0.00 μB/atom. Its volume is 17.814 Å³ per atom. As for the density: 7.08 Mg/m³.

Unit cell a=10.725 b=12.456 c=5.334 alpha=90.00 beta=90.00 gamma=90.00
Space group Ibam (No. 72)
One atom of each set of equivalent atoms:
Li  0.000  0.000  0.250 (multiplicity 4)
Li  0.102  0.214  0.000 (multiplicity 8)
Ga  0.000  0.500  0.250 (multiplicity 4)
Ga  0.126  0.344  0.500 (multiplicity 8)
Ga  0.244  0.000  0.250 (multiplicity 8)
Pt  0.151  0.150  0.500 (multiplicity 8)

> What is the formula in the second record?

NdYTmZn

> Look up the volume of the fourth one.

17.814 Å³ per atom